# 1
# NdSm5Er3, relaxed, DFT GGA-PBE
data_NdSm5Er3
_cell_length_a 18.624
_cell_length_b 6.400
_cell_length_c 11.361
_cell_angle_alpha 90.00
_cell_angle_beta 113.59
_cell_angle_gamma 90.00
_symmetry_space_group_name_H-M 'C 1 2/c 1'
_symmetry_Int_Tables_number 15
loop_
_symmetry_equiv_pos_as_xyz
'x,y,z'
'-x,-y,-z'
'-x,y,-z+1/2'
'x,-y,z+1/2'
'x+1/2,y+1/2,z'
'-x+1/2,-y+1/2,-z'
'-x+1/2,y+1/2,-z+1/2'
'x+1/2,-y+1/2,z+1/2'
loop_
_atom_site_label
_atom_site_fract_x
_atom_site_fract_y
_atom_site_fract_z
Nd1 0.000 0.134 0.250
Sm1 0.000 0.397 0.750
Sm2 0.168 0.293 0.208
Sm3 0.170 0.180 0.866
Er1 0.000 0.000 0.000
Er2 0.162 0.299 0.514
# **Excess energy over the best structure of this formula in the dataset**: 0 meV per atom
# **Volume**: 1241 Å³ per cell
# **Energy of formation from the pure elements**: 2.58 eV/f.u.

# 2
# Nd12Sm3Er, relaxed, DFT GGA-PBE
data_Nd12Sm3Er
_cell_length_a 5.176
_cell_length_b 5.176
_cell_length_c 20.670
_cell_angle_alpha 90.00
_cell_angle_beta 90.00
_cell_angle_gamma 90.00
_symmetry_space_group_name_H-M 'P 4/m m m'
_symmetry_Int_Tables_number 123
_symmetry_space_group_name_Hall '-P 4 2'
loop_
_atom_site_label
_atom_site_fract_x
_atom_site_fract_y
_atom_site_fract_z
Nd1 0.000 0.000 0.000
Nd2 0.000 0.000 0.249
Nd3 0.000 0.000 0.500
Nd4 0.000 0.500 0.124
Nd5 0.000 0.500 0.375
Sm1 0.500 0.500 0.249
Sm2 0.500 0.500 0.500
Er1 0.500 0.500 0.000
# **Volume**: 554 Å³ per cell
# **Energy of formation from the pure elements**: 0.20 eV/f.u.

# 3
# Nd3Sm4Er3, relaxed, DFT GGA-PBE
data_Nd3Sm4Er3
_cell_length_a 3.769
_cell_length_b 13.299
_cell_length_c 13.418
_cell_angle_alpha 90.00
_cell_angle_beta 90.00
_cell_angle_gamma 90.00
_symmetry_space_group_name_H-M 'A m m 2'
_symmetry_Int_Tables_number 38
loop_
_symmetry_equiv_pos_as_xyz
'x,y,z'
'-x,-y,z'
'-x,y,z'
'x,-y,z'
'x,y+1/2,z+1/2'
'-x,-y+1/2,z+1/2'
'-x,y+1/2,z+1/2'
'x,-y+1/2,z+1/2'
loop_
_atom_site_label
_atom_site_fract_x
_atom_site_fract_y
_atom_site_fract_z
Nd1 0.000 0.000 0.000
Nd2 0.000 0.171 0.670
Sm1 0.500 0.000 0.540
Sm2 0.500 0.000 0.801
Sm3 0.500 0.128 0.173
Er1 0.000 0.000 0.342
Er2 0.500 0.246 0.419
# **Volume**: 673 Å³ per cell
# **Energy of formation from the pure elements**: 1.12 eV/f.u.

Copy entry 3 word for word.
# Nd3Sm4Er3, relaxed, DFT GGA-PBE
data_Nd3Sm4Er3
_cell_length_a 3.769
_cell_length_b 13.299
_cell_length_c 13.418
_cell_angle_alpha 90.00
_cell_angle_beta 90.00
_cell_angle_gamma 90.00
_symmetry_space_group_name_H-M 'A m m 2'
_symmetry_Int_Tables_number 38
loop_
_symmetry_equiv_pos_as_xyz
'x,y,z'
'-x,-y,z'
'-x,y,z'
'x,-y,z'
'x,y+1/2,z+1/2'
'-x,-y+1/2,z+1/2'
'-x,y+1/2,z+1/2'
'x,-y+1/2,z+1/2'
loop_
_atom_site_label
_atom_site_fract_x
_atom_site_fract_y
_atom_site_fract_z
Nd1 0.000 0.000 0.000
Nd2 0.000 0.171 0.670
Sm1 0.500 0.000 0.540
Sm2 0.500 0.000 0.801
Sm3 0.500 0.128 0.173
Er1 0.000 0.000 0.342
Er2 0.500 0.246 0.419
# **Volume**: 673 Å³ per cell
# **Energy of formation from the pure elements**: 1.12 eV/f.u.

Repeat the first record exactly.
# NdSm5Er3, relaxed, DFT GGA-PBE
data_NdSm5Er3
_cell_length_a 18.624
_cell_length_b 6.400
_cell_length_c 11.361
_cell_angle_alpha 90.00
_cell_angle_beta 113.59
_cell_angle_gamma 90.00
_symmetry_space_group_name_H-M 'C 1 2/c 1'
_symmetry_Int_Tables_number 15
loop_
_symmetry_equiv_pos_as_xyz
'x,y,z'
'-x,-y,-z'
'-x,y,-z+1/2'
'x,-y,z+1/2'
'x+1/2,y+1/2,z'
'-x+1/2,-y+1/2,-z'
'-x+1/2,y+1/2,-z+1/2'
'x+1/2,-y+1/2,z+1/2'
loop_
_atom_site_label
_atom_site_fract_x
_atom_site_fract_y
_atom_site_fract_z
Nd1 0.000 0.134 0.250
Sm1 0.000 0.397 0.750
Sm2 0.168 0.293 0.208
Sm3 0.170 0.180 0.866
Er1 0.000 0.000 0.000
Er2 0.162 0.299 0.514
# **Excess energy over the best structure of this formula in the dataset**: 0 meV per atom
# **Volume**: 1241 Å³ per cell
# **Energy of formation from the pure elements**: 2.58 eV/f.u.

- Among the records above, which one has the lowest volume?
  Nd12Sm3Er